A.
# CdCu5

A PBEsol-optimized structure of CdCu5 (SCAN, Alexandria via LeMat-Bulk).

The structure belongs to space group P6/mmm (No. 191); the cell edges are 4.7725, 4.7725 and 4.0901 Å and the angles 90.00°, 90.00° and 120.00°. The inequivalent atoms are Cd at (0.0000, 0.0000, 0.0000), Cu at (0.0000, 0.5000, 0.5000) and Cu at (0.3333, 0.6667, 0.0000).

The calculation puts the density of states at the Fermi level at 2.2 states/eV per cell.

B.
# CdCu5

A PBEsol-optimized structure of CdCu5 (SCAN, Alexandria via LeMat-Bulk).

The structure belongs to space group Amm2 (No. 38); the cell edges are 4.195, 2.707 and 13.404 Å and the angles 90.00°, 90.00° and 90.00°. The inequivalent atoms are Cd at (0.000, 0.000, 0.000), Cu at (0.000, 0.000, 0.328), Cu at (0.000, 0.000, 0.676), Cu at (0.500, 0.000, 0.218), Cu at (0.500, 0.000, 0.562) and Cu at (0.500, 0.000, 0.876).

The calculation puts the density of states at the Fermi level at 3.3 states/eV per cell.

C.
# CdCu5

A PBEsol-optimized structure of CdCu5 (SCAN, Alexandria via LeMat-Bulk).

The structure belongs to space group P-62m (No. 189); the cell edges are 4.5513, 4.5513 and 4.2259 Å and the angles 90.00°, 90.00° and 120.00°. The inequivalent atoms are Cd at (0.0000, 0.0000, 0.0000), Cu at (0.0000, 0.6381, 0.5000) and Cu at (0.3333, 0.6667, 0.0000).

The calculation puts the density of states at the Fermi level at 1.5 states/eV per cell.

Most stable to least stable: C, A, B

A.
# HfCdIn2Cu

A PBEsol-optimized structure of HfCdIn2Cu (SCAN, Alexandria via LeMat-Bulk).

The structure belongs to space group P4/mmm (No. 123); the cell edges are 4.787, 4.787 and 4.959 Å and the angles 90.00°, 90.00° and 90.00°. The inequivalent atoms are Hf at (0.000, 0.000, 0.000), Cd at (0.500, 0.500, 0.000), In at (0.000, 0.500, 0.500) and Cu at (0.000, 0.000, 0.500).

The calculation puts the density of states at the Fermi level at 2.5 states/eV per cell.

B.
# HfCdIn2Cu

A PBEsol-optimized structure of HfCdIn2Cu (SCAN, Alexandria via LeMat-Bulk).

The structure belongs to space group P4/mmm (No. 123); the cell edges are 5.556, 5.556 and 4.765 Å and the angles 90.00°, 90.00° and 90.00°. The inequivalent atoms are Hf at (0.000, 0.000, 0.000), Cd at (0.500, 0.500, 0.500), In at (0.000, 0.500, 0.000) and Cu at (0.000, 0.000, 0.500).

The calculation puts the density of states at the Fermi level at 4.0 states/eV per cell.

Most stable to least stable: A, B

A.
# Cd2InCu2

A PBEsol-optimized structure of Cd2InCu2 (SCAN, Alexandria via LeMat-Bulk).

The structure belongs to space group P4/mbm (No. 127); the cell edges are 7.652, 7.652 and 2.968 Å and the angles 90.00°, 90.00° and 90.00°. The inequivalent atoms are Cd at (0.177, 0.323, 0.000), In at (0.000, 0.000, 0.500) and Cu at (0.116, 0.616, 0.500).

The calculation puts the density of states at the Fermi level at 3.1 states/eV per cell.

B.
# Cd2InCu2

A PBEsol-optimized structure of Cd2InCu2 (SCAN, Alexandria via LeMat-Bulk).

The structure belongs to space group I4/mmm (No. 139); the cell edges are 3.903, 3.903 and 12.295 Å and the angles 90.00°, 90.00° and 90.00°. The inequivalent atoms are Cd at (0.000, 0.500, 0.250), In at (0.000, 0.000, 0.000) and Cu at (0.000, 0.000, 0.405).

The calculation puts the density of states at the Fermi level at 3.4 states/eV per cell.

Most stable to least stable: A, B

A.
# LiCdCu

A PBEsol-optimized structure of LiCdCu (SCAN, Alexandria via LeMat-Bulk).

The structure belongs to space group Imm2 (No. 44); the cell edges are 2.828, 3.768 and 8.385 Å and the angles 90.00°, 90.00° and 90.00°. The inequivalent atoms are Li at (0.000, 0.000, 0.000), Cd at (0.000, 0.000, 0.677) and Cu at (0.000, 0.000, 0.345).

The calculation puts the density of states at the Fermi level at 1.7 states/eV per cell.

B.
# LiCdCu

A PBEsol-optimized structure of LiCdCu (SCAN, Alexandria via LeMat-Bulk).

The structure belongs to space group P3m1 (No. 156); the cell edges are 4.3260, 4.3260 and 2.7257 Å and the angles 90.00°, 90.00° and 120.00°. The inequivalent atoms are Li at (0.0000, 0.0000, 0.0000), Cd at (0.6667, 0.3333, 0.5970) and Cu at (0.3333, 0.6667, 0.1701).

The calculation puts the density of states at the Fermi level at 0.9 states/eV per cell.

C.
# LiCdCu

A PBEsol-optimized structure of LiCdCu (SCAN, Alexandria via LeMat-Bulk).

The structure belongs to space group F-43m (No. 216); the cell edges are 5.858, 5.858 and 5.858 Å and the angles 90.00°, 90.00° and 90.00°. The inequivalent atoms are Li at (0.000, 0.000, 0.000), Cd at (0.250, 0.250, 0.750) and Cu at (0.250, 0.250, 0.250).

The calculation puts the density of states at the Fermi level at 3.4 states/eV per cell.

Most stable to least stable: B, A, C

A.
# MnCd2Cu

A PBEsol-optimized structure of MnCd2Cu (SCAN, Alexandria via LeMat-Bulk).

The structure belongs to space group P4/mmm (No. 123); the cell edges are 4.371, 4.371 and 3.374 Å and the angles 90.00°, 90.00° and 90.00°. The inequivalent atoms are Mn at (0.000, 0.000, 0.000), Cd at (0.000, 0.500, 0.500) and Cu at (0.500, 0.500, 0.000).

The calculation puts the density of states at the Fermi level at 1.9 states/eV per cell.

B.
# MnCd2Cu

A PBEsol-optimized structure of MnCd2Cu (SCAN, Alexandria via LeMat-Bulk).

The structure belongs to space group Fm-3m (No. 225); the cell edges are 6.353, 6.353 and 6.353 Å and the angles 90.00°, 90.00° and 90.00°. The inequivalent atoms are Mn at (0.000, 0.000, 0.000), Cd at (0.250, 0.250, 0.250) and Cu at (0.000, 0.000, 0.500).

The calculation puts the density of states at the Fermi level at 6.2 states/eV per cell.

Most stable to least stable: B, A

A.
# Cd2CuMo

A PBEsol-optimized structure of Cd2CuMo (SCAN, Alexandria via LeMat-Bulk).

The structure belongs to space group P4/mmm (No. 123); the cell edges are 4.030, 4.030 and 4.017 Å and the angles 90.00°, 90.00° and 90.00°. The inequivalent atoms are Cd at (0.000, 0.500, 0.000), Cu at (0.000, 0.000, 0.500) and Mo at (0.500, 0.500, 0.500).

The calculation puts the density of states at the Fermi level at 2.0 states/eV per cell.

B.
# Cd2CuMo

A PBEsol-optimized structure of Cd2CuMo (SCAN, Alexandria via LeMat-Bulk).

The structure belongs to space group Fm-3m (No. 225); the cell edges are 6.444, 6.444 and 6.444 Å and the angles 90.00°, 90.00° and 90.00°. The inequivalent atoms are Cd at (0.250, 0.250, 0.250), Cu at (0.000, 0.000, 0.000) and Mo at (0.000, 0.000, 0.500).

The calculation puts the density of states at the Fermi level at 5.1 states/eV per cell.

Most stable to least stable: A, B

A.
# CdCu2P

A PBEsol-optimized structure of CdCu2P (SCAN, Alexandria via LeMat-Bulk).

The structure belongs to space group P4/mmm (No. 123); the cell edges are 3.100, 3.100 and 5.878 Å and the angles 90.00°, 90.00° and 90.00°. The inequivalent atoms are Cd at (0.000, 0.000, 0.000), Cu at (0.500, 0.500, 0.289) and P at (0.000, 0.000, 0.500).

The calculation puts the density of states at the Fermi level at 1.3 states/eV per cell.

B.
# CdCu2P

A PBEsol-optimized structure of CdCu2P (SCAN, Alexandria via LeMat-Bulk).

The structure belongs to space group Pmmm (No. 47); the cell edges are 3.084, 3.886 and 4.969 Å and the angles 90.00°, 90.00° and 90.00°. The inequivalent atoms are Cd at (0.000, 0.000, 0.000), Cu at (0.500, 0.500, 0.250) and P at (0.500, 0.000, 0.500).

The calculation puts the density of states at the Fermi level at 1.2 states/eV per cell.

Most stable to least stable: B, A

A.
# CdCuRu

A PBEsol-optimized structure of CdCuRu (SCAN, Alexandria via LeMat-Bulk).

The structure belongs to space group P3m1 (No. 156); the cell edges are 2.7500, 2.7500 and 6.6727 Å and the angles 90.00°, 90.00° and 120.00°. The inequivalent atoms are Cd at (0.0000, 0.0000, 0.0000), Cu at (0.3333, 0.6667, 0.6593) and Ru at (0.6667, 0.3333, 0.3555).

The calculation puts the density of states at the Fermi level at 1.5 states/eV per cell.

B.
# CdCuRu

A PBEsol-optimized structure of CdCuRu (SCAN, Alexandria via LeMat-Bulk).

The structure belongs to space group F-43m (No. 216); the cell edges are 5.985, 5.985 and 5.985 Å and the angles 90.00°, 90.00° and 90.00°. The inequivalent atoms are Cd at (0.000, 0.000, 0.000), Cu at (0.000, 0.000, 0.500) and Ru at (0.250, 0.250, 0.250).

The calculation puts the density of states at the Fermi level at 8.6 states/eV per cell.

Most stable to least stable: A, B

A.
# CdCu2Sb

A PBEsol-optimized structure of CdCu2Sb (SCAN, Alexandria via LeMat-Bulk).

The structure belongs to space group R3m (No. 160, hexagonal axes); the cell edges are 3.1235, 3.1235 and 25.3938 Å and the angles 90.00°, 90.00° and 120.00°. The inequivalent atoms are Cd at (0.0000, 0.0000, 0.0000), Cu at (0.0000, 0.0000, 0.2547), Cu at (0.0000, 0.0000, 0.5224) and Sb at (0.0000, 0.0000, 0.7765).

The calculation puts the density of states at the Fermi level at 3.6 states/eV per cell.

B.
# CdCu2Sb

A PBEsol-optimized structure of CdCu2Sb (SCAN, Alexandria via LeMat-Bulk).

The structure belongs to space group Cm (No. 8); the cell edges are 8.297, 3.082 and 5.699 Å and the angles 90.00°, 100.33° and 90.00°. The inequivalent atoms are Cd at (0.000, 0.000, 0.000), Cu at (0.244, 0.500, 0.243), Cu at (0.476, 0.000, 0.392) and Sb at (0.226, 0.000, 0.634).

The calculation puts the density of states at the Fermi level at 2.9 states/eV per cell.

Most stable to least stable: B, A

A.
# Cd2CuTc

A PBEsol-optimized structure of Cd2CuTc (SCAN, Alexandria via LeMat-Bulk).

The structure belongs to space group Imm2 (No. 44); the cell edges are 2.788, 4.783 and 9.634 Å and the angles 90.00°, 90.00° and 90.00°. The inequivalent atoms are Cd at (0.000, 0.000, 0.000), Cd at (0.000, 0.500, 0.229), Cu at (0.000, 0.500, 0.741) and Tc at (0.000, 0.000, 0.464).

The calculation puts the density of states at the Fermi level at 4.1 states/eV per cell.

B.
# Cd2CuTc

A PBEsol-optimized structure of Cd2CuTc (SCAN, Alexandria via LeMat-Bulk).

The structure belongs to space group Pmmm (No. 47); the cell edges are 2.756, 3.955 and 5.836 Å and the angles 90.00°, 90.00° and 90.00°. The inequivalent atoms are Cd at (0.000, 0.000, 0.243), Cu at (0.500, 0.500, 0.000) and Tc at (0.500, 0.500, 0.500).

The calculation puts the density of states at the Fermi level at 2.4 states/eV per cell.

C.
# Cd2CuTc

A PBEsol-optimized structure of Cd2CuTc (SCAN, Alexandria via LeMat-Bulk).

The structure belongs to space group C2/m (No. 12); the cell edges are 9.622, 2.744 and 4.966 Å and the angles 90.00°, 104.45° and 90.00°. The inequivalent atoms are Cd at (0.238, 0.000, 0.244), Cu at (0.000, 0.500, 0.000) and Tc at (0.000, 0.000, 0.500).

The calculation puts the density of states at the Fermi level at 2.6 states/eV per cell.

Most stable to least stable: A, B, C

A.
# CdCuTe

A PBEsol-optimized structure of CdCuTe (SCAN, Alexandria via LeMat-Bulk).

The structure belongs to space group F-43m (No. 216); the cell edges are 6.558, 6.558 and 6.558 Å and the angles 90.00°, 90.00° and 90.00°. The inequivalent atoms are Cd at (0.000, 0.000, 0.000), Cu at (0.250, 0.250, 0.750) and Te at (0.250, 0.250, 0.250).

The calculation puts the density of states at the Fermi level at 4.9 states/eV per cell.

B.
# CdCuTe

A PBEsol-optimized structure of CdCuTe (SCAN, Alexandria via LeMat-Bulk).

The structure belongs to space group Imm2 (No. 44); the cell edges are 2.868, 3.675 and 12.025 Å and the angles 90.00°, 90.00° and 90.00°. The inequivalent atoms are Cd at (0.000, 0.000, 0.000), Cu at (0.000, 0.000, 0.630) and Te at (0.000, 0.000, 0.272).

The calculation puts the density of states at the Fermi level at 2.2 states/eV per cell.

Most stable to least stable: B, A

A.
# Cd2CuW

A PBEsol-optimized structure of Cd2CuW (SCAN, Alexandria via LeMat-Bulk).

The structure belongs to space group Pmmm (No. 47); the cell edges are 2.981, 4.662 and 4.735 Å and the angles 90.00°, 90.00° and 90.00°. The inequivalent atoms are Cd at (0.000, 0.000, 0.000), Cd at (0.500, 0.500, 0.000), Cu at (0.000, 0.500, 0.500) and W at (0.500, 0.000, 0.500).

The calculation puts the density of states at the Fermi level at 2.5 states/eV per cell.

B.
# Cd2CuW

A PBEsol-optimized structure of Cd2CuW (SCAN, Alexandria via LeMat-Bulk).

The structure belongs to space group P4mm (No. 99); the cell edges are 2.767, 2.767 and 8.575 Å and the angles 90.00°, 90.00° and 90.00°. The inequivalent atoms are Cd at (0.000, 0.000, 0.000), Cd at (0.500, 0.500, 0.292), Cu at (0.000, 0.000, 0.524) and W at (0.500, 0.500, 0.738).

The calculation puts the density of states at the Fermi level at 1.1 states/eV per cell.

C.
# Cd2CuW

A PBEsol-optimized structure of Cd2CuW (SCAN, Alexandria via LeMat-Bulk).

The structure belongs to space group Cmmm (No. 65); the cell edges are 5.719, 8.636 and 2.683 Å and the angles 90.00°, 90.00° and 90.00°. The inequivalent atoms are Cd at (0.250, 0.250, 0.000), Cu at (0.000, 0.000, 0.500) and W at (0.000, 0.500, 0.500).

The calculation puts the density of states at the Fermi level at 3.2 states/eV per cell.

D.
# Cd2CuW

A PBEsol-optimized structure of Cd2CuW (SCAN, Alexandria via LeMat-Bulk).

The structure belongs to space group I-4m2 (No. 119); the cell edges are 4.074, 4.074 and 7.947 Å and the angles 90.00°, 90.00° and 90.00°. The inequivalent atoms are Cd at (0.000, 0.000, 0.000), Cd at (0.000, 0.500, 0.250), Cu at (0.000, 0.000, 0.500) and W at (0.000, 0.500, 0.750).

The calculation puts the density of states at the Fermi level at 4.2 states/eV per cell.

Most stable to least stable: B, C, A, D